Entry 1:
A plane-wave DFT calculation with GGA-PBE was carried out for an optimized crystal structure of BeHg3As.

Summary:
The total energy is -5.4 eV per cell.

Structure (CIF):
```
data_BeHg3As
_cell_length_a 5.3890
_cell_length_b 5.3890
_cell_length_c 5.3890
_cell_angle_alpha 90.00
_cell_angle_beta 90.00
_cell_angle_gamma 90.00
_space_group_name_H-M_alt 'P 1'
_space_group_IT_number 1
loop_
_space_group_symop_operation_xyz
'x,y,z'
loop_
_atom_site_label
_atom_site_fract_x
_atom_site_fract_y
_atom_site_fract_z
Be1 0.5000 0.5000 0.5000
As1 0.0000 0.0000 0.0000
Hg1 0.0000 0.5000 0.0000
Hg2 0.0000 0.0000 0.5000
Hg3 0.5000 0.0000 0.0000
```

Entry 2:
A plane-wave DFT calculation with GGA-PBE was carried out for an optimized crystal structure of BeHgAs2.

Summary:
The total energy is -12.5 eV per cell.

Structure (CIF):
```
data_BeHgAs2
_cell_length_a 2.8569
_cell_length_b 2.8569
_cell_length_c 10.4143
_cell_angle_alpha 90.00
_cell_angle_beta 90.00
_cell_angle_gamma 90.00
_space_group_name_H-M_alt 'P 1'
_space_group_IT_number 1
loop_
_space_group_symop_operation_xyz
'x,y,z'
loop_
_atom_site_label
_atom_site_fract_x
_atom_site_fract_y
_atom_site_fract_z
Be1 0.0000 0.0000 0.2784
As1 0.0000 0.0000 0.0646
As2 0.5000 0.5000 0.4156
Hg1 0.5000 0.5000 0.7414
```

Entry 3:
A plane-wave DFT calculation with GGA-PBE was carried out for an optimized crystal structure of BeHgAs2.

Summary:
The total energy is -12.7 eV per cell.

Structure (CIF):
```
data_BeHgAs2
_cell_length_a 6.4507
_cell_length_b 6.4507
_cell_length_c 6.2405
_cell_angle_alpha 39.88
_cell_angle_beta 39.88
_cell_angle_gamma 33.48
_space_group_name_H-M_alt 'P 1'
_space_group_IT_number 1
loop_
_space_group_symop_operation_xyz
'x,y,z'
loop_
_atom_site_label
_atom_site_fract_x
_atom_site_fract_y
_atom_site_fract_z
Be1 0.7500 0.7500 0.7500
As1 0.0991 0.0991 0.8716
As2 0.4009 0.4009 0.6284
Hg1 0.2500 0.2500 0.2500
```

Entry 4:
A plane-wave DFT calculation with GGA-PBE was carried out for an optimized crystal structure of BeHgAs2.

Summary:
The total energy is -10.6 eV per cell.

Structure (CIF):
```
data_BeHgAs2
_cell_length_a 4.7172
_cell_length_b 4.7172
_cell_length_c 4.7172
_cell_angle_alpha 60.00
_cell_angle_beta 60.00
_cell_angle_gamma 60.00
_space_group_name_H-M_alt 'P 1'
_space_group_IT_number 1
loop_
_space_group_symop_operation_xyz
'x,y,z'
loop_
_atom_site_label
_atom_site_fract_x
_atom_site_fract_y
_atom_site_fract_z
Be1 0.5000 0.5000 0.5000
As1 0.0000 0.0000 0.0000
As2 0.2500 0.2500 0.2500
Hg1 0.7500 0.7500 0.7500
```

Entry 5:
A plane-wave DFT calculation with GGA-PBE was carried out for an optimized crystal structure of BeHgAs2.

Summary:
The total energy is -11.1 eV per cell.

Structure (CIF):
```
data_BeHgAs2
_cell_length_a 3.6655
_cell_length_b 3.5998
_cell_length_c 6.2344
_cell_angle_alpha 90.00
_cell_angle_beta 90.00
_cell_angle_gamma 90.00
_space_group_name_H-M_alt 'P 1'
_space_group_IT_number 1
loop_
_space_group_symop_operation_xyz
'x,y,z'
loop_
_atom_site_label
_atom_site_fract_x
_atom_site_fract_y
_atom_site_fract_z
Be1 0.5000 0.0000 0.5000
As1 0.0000 0.0000 0.0000
As2 0.5000 0.5000 0.0000
Hg1 0.0000 0.5000 0.5000
```

Entry 6:
A plane-wave DFT calculation with GGA-PBE was carried out for an optimized crystal structure of BeHg3As.

Summary:
The total energy is -6.7 eV per cell.

Structure (CIF):
```
data_BeHg3As
_cell_length_a 4.8265
_cell_length_b 4.8265
_cell_length_c 4.8265
_cell_angle_alpha 90.00
_cell_angle_beta 90.00
_cell_angle_gamma 90.00
_space_group_name_H-M_alt 'P 1'
_space_group_IT_number 1
loop_
_space_group_symop_operation_xyz
'x,y,z'
loop_
_atom_site_label
_atom_site_fract_x
_atom_site_fract_y
_atom_site_fract_z
Be1 0.0000 0.0000 0.0000
As1 0.5000 0.5000 0.5000
Hg1 0.0000 0.5000 0.0000
Hg2 0.0000 0.0000 0.5000
Hg3 0.5000 0.0000 0.0000
```

Entry 7:
A plane-wave DFT calculation with GGA-PBE was carried out for an optimized crystal structure of BeHgAs2.

Summary:
The total energy is -11.9 eV per cell.

Structure (CIF):
```
data_BeHgAs2
_cell_length_a 5.9235
_cell_length_b 5.9235
_cell_length_c 5.9235
_cell_angle_alpha 151.77
_cell_angle_beta 131.01
_cell_angle_gamma 57.50
_space_group_name_H-M_alt 'P 1'
_space_group_IT_number 1
loop_
_space_group_symop_operation_xyz
'x,y,z'
loop_
_atom_site_label
_atom_site_fract_x
_atom_site_fract_y
_atom_site_fract_z
Be1 0.7500 0.2500 0.5000
As1 0.9380 0.9380 0.0000
As2 0.5620 0.5620 0.0000
Hg1 0.2500 0.7500 0.5000
```

Entry 8:
A plane-wave DFT calculation with GGA-PBE was carried out for an optimized crystal structure of BeHgAs2.

Summary:
The total energy is -11.0 eV per cell.

Structure (CIF):
```
data_BeHgAs2
_cell_length_a 6.3126
_cell_length_b 6.3126
_cell_length_c 6.3126
_cell_angle_alpha 145.84
_cell_angle_beta 145.84
_cell_angle_gamma 49.08
_space_group_name_H-M_alt 'P 1'
_space_group_IT_number 1
loop_
_space_group_symop_operation_xyz
'x,y,z'
loop_
_atom_site_label
_atom_site_fract_x
_atom_site_fract_y
_atom_site_fract_z
Be1 0.2500 0.7500 0.5000
As1 0.0000 0.0000 0.0000
As2 0.5000 0.5000 0.0000
Hg1 0.7500 0.2500 0.5000
```

Entry 9:
A plane-wave DFT calculation with GGA-PBE was carried out for an optimized crystal structure of Be4HgAs.

Summary:
The total energy is -17.0 eV per cell.

Structure (CIF):
```
data_Be4HgAs
_cell_length_a 4.7621
_cell_length_b 4.7621
_cell_length_c 4.7621
_cell_angle_alpha 60.00
_cell_angle_beta 60.00
_cell_angle_gamma 60.00
_space_group_name_H-M_alt 'P 1'
_space_group_IT_number 1
loop_
_space_group_symop_operation_xyz
'x,y,z'
loop_
_atom_site_label
_atom_site_fract_x
_atom_site_fract_y
_atom_site_fract_z
Be1 0.8786 0.3738 0.3738
Be2 0.3738 0.3738 0.8786
Be3 0.3738 0.8786 0.3738
Be4 0.3738 0.3738 0.3738
Hg1 0.7500 0.7500 0.7500
As1 0.0000 0.0000 0.0000
```

Entry 10:
A plane-wave DFT calculation with GGA-PBE was carried out for an optimized crystal structure of BeHgAs2.

Summary:
The total energy is -11.9 eV per cell.

Structure (CIF):
```
data_BeHgAs2
_cell_length_a 5.6571
_cell_length_b 5.6571
_cell_length_c 5.6571
_cell_angle_alpha 139.39
_cell_angle_beta 118.35
_cell_angle_gamma 76.47
_space_group_name_H-M_alt 'P 1'
_space_group_IT_number 1
loop_
_space_group_symop_operation_xyz
'x,y,z'
loop_
_atom_site_label
_atom_site_fract_x
_atom_site_fract_y
_atom_site_fract_z
Be1 0.4891 0.4891 0.0000
As1 0.1042 0.1042 0.0000
As2 0.6068 0.1068 0.5000
Hg1 0.2999 0.7999 0.5000
```

Entry 11:
A plane-wave DFT calculation with GGA-PBE was carried out for an optimized crystal structure of BeHgAs2.

Summary:
The total energy is -10.7 eV per cell.

Structure (CIF):
```
data_BeHgAs2
_cell_length_a 4.2646
_cell_length_b 4.2646
_cell_length_c 4.1386
_cell_angle_alpha 90.00
_cell_angle_beta 90.00
_cell_angle_gamma 90.00
_space_group_name_H-M_alt 'P 1'
_space_group_IT_number 1
loop_
_space_group_symop_operation_xyz
'x,y,z'
loop_
_atom_site_label
_atom_site_fract_x
_atom_site_fract_y
_atom_site_fract_z
Be1 0.5000 0.0000 0.5000
As1 0.0000 0.0000 0.0000
As2 0.5000 0.5000 0.0000
Hg1 0.0000 0.5000 0.5000
```

Entry 12:
A plane-wave DFT calculation with GGA-PBE was carried out for an optimized crystal structure of BeHgAs2.

Summary:
The total energy is -10.5 eV per cell.

Structure (CIF):
```
data_BeHgAs2
_cell_length_a 4.7349
_cell_length_b 4.7349
_cell_length_c 4.7349
_cell_angle_alpha 60.00
_cell_angle_beta 60.00
_cell_angle_gamma 60.00
_space_group_name_H-M_alt 'P 1'
_space_group_IT_number 1
loop_
_space_group_symop_operation_xyz
'x,y,z'
loop_
_atom_site_label
_atom_site_fract_x
_atom_site_fract_y
_atom_site_fract_z
Be1 0.0000 0.0000 0.0000
As1 0.2500 0.2500 0.2500
As2 0.7500 0.7500 0.7500
Hg1 0.5000 0.5000 0.5000
```

Entry 13:
A plane-wave DFT calculation with GGA-PBE was carried out for an optimized crystal structure of BeHgAs2.

Summary:
The total energy is -25.4 eV per cell.

Structure (CIF):
```
data_BeHgAs2
_cell_length_a 5.1612
_cell_length_b 5.1612
_cell_length_c 7.5349
_cell_angle_alpha 69.97
_cell_angle_beta 69.97
_cell_angle_gamma 90.00
_space_group_name_H-M_alt 'P 1'
_space_group_IT_number 1
loop_
_space_group_symop_operation_xyz
'x,y,z'
loop_
_atom_site_label
_atom_site_fract_x
_atom_site_fract_y
_atom_site_fract_z
Be1 0.5000 0.5000 0.0000
Be2 0.2500 0.7500 0.5000
As1 0.5231 0.1250 0.2500
As2 0.2269 0.6250 0.2500
As3 0.3750 0.4769 0.7500
As4 0.8750 0.7731 0.7500
Hg1 0.0000 0.0000 0.0000
Hg2 0.7500 0.2500 0.5000
```

Entry 14:
A plane-wave DFT calculation with GGA-PBE was carried out for an optimized crystal structure of BeHgAs2.

Summary:
The total energy is -12.4 eV per cell.

Structure (CIF):
```
data_BeHgAs2
_cell_length_a 3.1910
_cell_length_b 3.1910
_cell_length_c 8.5480
_cell_angle_alpha 90.00
_cell_angle_beta 90.00
_cell_angle_gamma 106.74
_space_group_name_H-M_alt 'P 1'
_space_group_IT_number 1
loop_
_space_group_symop_operation_xyz
'x,y,z'
loop_
_atom_site_label
_atom_site_fract_x
_atom_site_fract_y
_atom_site_fract_z
Be1 0.5000 0.5000 0.2500
As1 0.0000 0.0000 0.0963
As2 0.0000 0.0000 0.4037
Hg1 0.5000 0.5000 0.7500
```

Entry 15:
A plane-wave DFT calculation with GGA-PBE was carried out for an optimized crystal structure of BeHg4As.

Summary:
The total energy is -5.0 eV per cell.

Structure (CIF):
```
data_BeHg4As
_cell_length_a 5.8871
_cell_length_b 5.8871
_cell_length_c 5.8871
_cell_angle_alpha 60.00
_cell_angle_beta 60.00
_cell_angle_gamma 60.00
_space_group_name_H-M_alt 'P 1'
_space_group_IT_number 1
loop_
_space_group_symop_operation_xyz
'x,y,z'
loop_
_atom_site_label
_atom_site_fract_x
_atom_site_fract_y
_atom_site_fract_z
Be1 0.0000 0.0000 0.0000
Hg1 0.3751 0.8747 0.3751
Hg2 0.8747 0.3751 0.3751
Hg3 0.3751 0.3751 0.8747
Hg4 0.3751 0.3751 0.3751
As1 0.7500 0.7500 0.7500
```

Entry 16:
A plane-wave DFT calculation with GGA-PBE was carried out for an optimized crystal structure of BeHgAs2.

Summary:
The total energy is -10.9 eV per cell.

Structure (CIF):
```
data_BeHgAs2
_cell_length_a 4.6984
_cell_length_b 4.6984
_cell_length_c 3.9227
_cell_angle_alpha 90.00
_cell_angle_beta 90.00
_cell_angle_gamma 115.04
_space_group_name_H-M_alt 'P 1'
_space_group_IT_number 1
loop_
_space_group_symop_operation_xyz
'x,y,z'
loop_
_atom_site_label
_atom_site_fract_x
_atom_site_fract_y
_atom_site_fract_z
Be1 0.5000 0.0000 0.5000
As1 0.0000 0.0000 0.0000
As2 0.5000 0.5000 0.0000
Hg1 0.0000 0.5000 0.5000
```

Entry 17:
A plane-wave DFT calculation with GGA-PBE was carried out for an optimized crystal structure of BeHgAs2.

Summary:
The total energy is -12.2 eV per cell.

Structure (CIF):
```
data_BeHgAs2
_cell_length_a 3.4931
_cell_length_b 4.6213
_cell_length_c 5.4414
_cell_angle_alpha 87.76
_cell_angle_beta 90.00
_cell_angle_gamma 90.00
_space_group_name_H-M_alt 'P 1'
_space_group_IT_number 1
loop_
_space_group_symop_operation_xyz
'x,y,z'
loop_
_atom_site_label
_atom_site_fract_x
_atom_site_fract_y
_atom_site_fract_z
Be1 0.0000 0.5869 0.4155
As1 0.0000 0.9468 0.1203
As2 0.5000 0.3301 0.2165
Hg1 0.5000 0.6362 0.7478
```

Entry 18:
A plane-wave DFT calculation with GGA-PBE was carried out for an optimized crystal structure of BeHgAs2.

Summary:
The total energy is -12.4 eV per cell.

Structure (CIF):
```
data_BeHgAs2
_cell_length_a 3.1884
_cell_length_b 3.1884
_cell_length_c 8.5411
_cell_angle_alpha 90.00
_cell_angle_beta 90.00
_cell_angle_gamma 90.00
_space_group_name_H-M_alt 'P 1'
_space_group_IT_number 1
loop_
_space_group_symop_operation_xyz
'x,y,z'
loop_
_atom_site_label
_atom_site_fract_x
_atom_site_fract_y
_atom_site_fract_z
Be1 0.5000 0.5000 0.2500
As1 0.0000 0.0000 0.1086
As2 0.0000 0.0000 0.3914
Hg1 0.5000 0.5000 0.7500
```

Entry 19:
A plane-wave DFT calculation with GGA-PBE was carried out for an optimized crystal structure of BeHgAs2.

Summary:
The total energy is -12.3 eV per cell.

Structure (CIF):
```
data_BeHgAs2
_cell_length_a 10.3672
_cell_length_b 10.3672
_cell_length_c 10.3672
_cell_angle_alpha 16.61
_cell_angle_beta 16.61
_cell_angle_gamma 16.61
_space_group_name_H-M_alt 'P 1'
_space_group_IT_number 1
loop_
_space_group_symop_operation_xyz
'x,y,z'
loop_
_atom_site_label
_atom_site_fract_x
_atom_site_fract_y
_atom_site_fract_z
Be1 0.2500 0.2500 0.2500
As1 0.9736 0.9736 0.9736
As2 0.5264 0.5264 0.5264
Hg1 0.7500 0.7500 0.7500
```

Entry 20:
A plane-wave DFT calculation with GGA-PBE was carried out for an optimized crystal structure of BeHgAs2.

Summary:
The total energy is -12.7 eV per cell.

Structure (CIF):
```
data_BeHgAs2
_cell_length_a 3.6663
_cell_length_b 4.2482
_cell_length_c 5.9303
_cell_angle_alpha 69.84
_cell_angle_beta 90.00
_cell_angle_gamma 90.00
_space_group_name_H-M_alt 'P 1'
_space_group_IT_number 1
loop_
_space_group_symop_operation_xyz
'x,y,z'
loop_
_atom_site_label
_atom_site_fract_x
_atom_site_fract_y
_atom_site_fract_z
Be1 0.5000 0.2500 0.2500
As1 0.0000 0.0494 0.1099
As2 0.0000 0.4506 0.3901
Hg1 0.5000 0.7500 0.7500
```